1.
VASP calculation (PBE) on a geometry-optimized CsNaHg2Ge structure.

Results
ρ: 5.6 Mg/m³
Formation energy: -0.0793 eV/atom
Electronic total energy: -1.558 eV per atom
D(E_F): 0.80 states/eV per atom
Symmetry: P4/mmm (123)

Geometry as POSCAR:
```
CsNaHg2Ge
1.0
5.748 0.000 0.000
0.000 5.748 0.000
0.000 0.000 5.660
Hg Cs Na Ge
2 1 1 1
Direct
0.500 0.000 0.000
0.000 0.500 0.000
0.500 0.500 0.500
0.000 0.000 0.500
0.000 0.000 0.000
```

---

2.
VASP calculation (PBE) on a geometry-optimized Cs2HgGeO4 structure.

Results
ΔE_f (raw): -122 kJ/mol of atoms
ρ: 4.9 Mg/m³
Electronic total energy: -4.573 eV per atom
Symmetry: Fddd (70)

Geometry as POSCAR:
```
Cs2HgGeO4
1.0
-5.061 2.313 1.678
-2.191 -2.047 6.280
2.859 9.590 5.469
Cs O Ge Hg
4 8 2 2
Direct
0.928 0.500 0.144
0.822 0.000 0.356
0.178 0.000 0.644
0.572 0.500 0.856
0.932 0.668 0.585
0.566 0.168 0.085
0.400 0.668 0.415
0.818 0.832 0.915
0.350 0.832 0.085
0.184 0.332 0.415
0.484 0.332 0.585
0.266 0.168 0.915
0.250 0.500 0.500
0.500 0.000 0.000
0.000 0.000 0.000
0.750 0.500 0.500
```

---

3.
VASP calculation (PBE) on a geometry-optimized CsHg2GePd structure.

Results
ρ: 7.9 Mg/m³
Formation energy: -0.1225 eV/atom
Electronic total energy: -2.376 eV per atom
D(E_F): 0.51 states/eV per atom
Symmetry: P4/mmm (123)
Energy relative to the lowest polymorph listed for this composition: 0 meV per atom

Geometry as POSCAR:
```
CsHg2GePd
1.0
-2.206 3.388 3.787
-5.010 -0.765 -2.234
-0.744 -3.805 2.971
Pd Hg Ge Cs
1 2 1 1
Direct
0.000 0.000 0.000
0.500 0.000 0.000
0.000 0.500 0.000
0.000 0.000 0.500
0.500 0.500 0.500
```

---

4.
VASP calculation (PBE) on a geometry-optimized Cs2HgGePd structure.

Results
ρ: 4.7 Mg/m³
Formation energy: -0.0945 eV/atom
Electronic total energy: -2.458 eV per atom
D(E_F): 0.86 states/eV per atom
Symmetry: P4/mmm (123)

Geometry as POSCAR:
```
Cs2HgGePd
1.0
6.906 0.000 0.000
0.000 6.906 0.000
0.000 0.000 4.756
Ge Cs Hg Pd
1 2 1 1
Direct
0.000 0.000 0.500
0.000 0.500 0.000
0.500 0.000 0.000
0.500 0.500 0.500
0.000 0.000 0.000
```

---

5.
VASP calculation (PBE) on a geometry-optimized CsHg2GePd structure.

Results
ρ: 7.7 Mg/m³
Formation energy: -0.0709 eV/atom
Electronic total energy: -2.324 eV per atom
D(E_F): 0.34 states/eV per atom
Symmetry: P4/mmm (123)
Energy relative to the lowest polymorph listed for this composition: 52 meV per atom

Geometry as POSCAR:
```
CsHg2GePd
1.0
5.584 0.000 0.000
0.000 5.584 0.000
0.000 0.000 4.948
Hg Cs Ge Pd
2 1 1 1
Direct
0.000 0.500 0.000
0.500 0.000 0.000
0.500 0.500 0.500
0.000 0.000 0.000
0.000 0.000 0.500
```

---

6.
VASP calculation (PBE) on a geometry-optimized CsHg2GePt structure.

Results
ρ: 9.0 Mg/m³
Formation energy: -0.1610 eV/atom
Electronic total energy: -2.584 eV per atom
D(E_F): 0.52 states/eV per atom
Symmetry: P4/mmm (123)

Geometry as POSCAR:
```
CsHg2GePt
1.0
5.502 0.000 0.000
0.000 5.502 0.000
0.000 0.000 4.908
Cs Pt Hg Ge
1 1 2 1
Direct
0.500 0.500 0.500
0.000 0.000 0.000
0.000 0.500 0.000
0.500 0.000 0.000
0.000 0.000 0.500
```

---

Copy entry 6 word for word.
VASP calculation (PBE) on a geometry-optimized CsHg2GePt structure.

Results
ρ: 9.0 Mg/m³
Formation energy: -0.1610 eV/atom
Electronic total energy: -2.584 eV per atom
D(E_F): 0.52 states/eV per atom
Symmetry: P4/mmm (123)

Geometry as POSCAR:
```
CsHg2GePt
1.0
5.502 0.000 0.000
0.000 5.502 0.000
0.000 0.000 4.908
Cs Pt Hg Ge
1 1 2 1
Direct
0.500 0.500 0.500
0.000 0.000 0.000
0.000 0.500 0.000
0.500 0.000 0.000
0.000 0.000 0.500
```